{
  "formula": "Rb2ZrMo3O12",
  "functional": "PBE+U",
  "state": "relaxed",
  "relative_energy_kj_per_mol_atoms": 0.00,
  "cell": [[9.611, -3.571, 0.000], [9.611, 3.571, 0.000], [-2.854, 0.000, 10.406]],
  "species": ["Rb", "Rb", "Rb", "Rb", "Zr", "Zr", "Mo", "Mo", "Mo", "Mo", "Mo", "Mo", "O", "O", "O", "O", "O", "O", "O", "O", "O", "O", "O", "O", "O", "O", "O", "O", "O", "O", "O", "O", "O", "O", "O", "O"],
  "frac_coords": [[0.117, 0.216, 0.057], [0.216, 0.117, 0.557], [0.784, 0.883, 0.443], [0.883, 0.784, 0.943], [0.500, 0.500, 0.000], [0.500, 0.500, 0.500], [0.119, 0.881, 0.250], [0.265, 0.463, 0.671], [0.463, 0.265, 0.171], [0.537, 0.735, 0.829], [0.735, 0.537, 0.329], [0.881, 0.119, 0.750], [0.034, 0.551, 0.654], [0.052, 0.097, 0.253], [0.097, 0.052, 0.753], [0.204, 0.441, 0.123], [0.243, 0.715, 0.103], [0.267, 0.575, 0.563], [0.285, 0.757, 0.397], [0.336, 0.497, 0.841], [0.425, 0.733, 0.937], [0.441, 0.204, 0.623], [0.449, 0.966, 0.846], [0.497, 0.336, 0.341], [0.503, 0.664, 0.659], [0.551, 0.034, 0.154], [0.559, 0.796, 0.377], [0.575, 0.267, 0.063], [0.664, 0.503, 0.159], [0.715, 0.243, 0.603], [0.733, 0.425, 0.437], [0.757, 0.285, 0.897], [0.796, 0.559, 0.877], [0.903, 0.948, 0.247], [0.948, 0.903, 0.747], [0.966, 0.449, 0.346]]
}